Density functional theory data (GGA-PBE) for an optimized crystal structure of NaAs2Br6.

Properties
total magnetization: 0.000 μB/f.u.
calculated volume: 40.3 Å³ per atom
energy: -2.841 eV/atom

Cell: 12.336 12.333 10.937 Å, 90.00 119.33 90.00°
Space group C2/c (No. 15)
One atom of each set of equivalent atoms:
Na 0.000 0.107 0.250 (multiplicity 4)
As 0.143 0.445 0.198 (multiplicity 8)
Br 0.121 0.255 0.138 (multiplicity 8)
Br 0.126 0.059 0.668 (multiplicity 8)
Br 0.131 0.476 0.447 (multiplicity 8)



Density functional theory data (GGA-PBE) for an optimized crystal structure of Na5As3Br12.

Properties
total magnetization: 0.000 μB/f.u.
calculated volume: 36.0 Å³ per atom
energy: -2.731 eV/atom

Cell: 17.924 17.924 17.924 Å, 90.00 90.00 90.00°
Space group Ia-3d (No. 230)
One atom of each set of equivalent atoms:
Na 0.000 0.000 0.000 (multiplicity 16)
Na 0.000 0.250 0.375 (multiplicity 24)
As 0.000 0.250 0.125 (multiplicity 24)
Br 0.009 0.035 0.162 (multiplicity 96)



Density functional theory data (GGA-PBE) for an optimized crystal structure of Na12As3Br5.

Properties
total magnetization: 2.069 μB/f.u.
calculated volume: 31.5 Å³ per atom
energy: -2.752 eV/atom

Cell: 17.138 17.138 17.138 Å, 90.00 90.00 90.00°
Space group Ia-3d (No. 230)
One atom of each set of equivalent atoms:
Na 0.016 0.076 0.654 (multiplicity 96)
As 0.000 0.250 0.125 (multiplicity 24)
Br 0.000 0.000 0.000 (multiplicity 16)
Br 0.000 0.250 0.375 (multiplicity 24)



What is the energy in the second record?
-2.731 eV/atom